Record 1
# NdHo2Bi3, optimized geometry, DFT PBE
data_NdHo2Bi3
_chemical_formula_sum 'Nd1 Ho2 Bi3'
_space_group_name_H-M_alt 'P 1'
_space_group_IT_number 1
_space_group_name_Hall 'P 1'
_cell_length_a 7.813
_cell_length_b 7.813
_cell_length_c 7.813
_cell_angle_alpha 146.44
_cell_angle_beta 131.77
_cell_angle_gamma 60.04
loop_
_atom_site_label
_atom_site_type_symbol
_atom_site_fract_x
_atom_site_fract_y
_atom_site_fract_z
Nd1 Nd 0.000 0.000 0.000
Ho1 Ho 0.335 0.335 0.000
Ho2 Ho 0.665 0.665 0.000
Bi1 Bi 0.172 0.672 0.500
Bi2 Bi 0.500 0.000 0.500
Bi3 Bi 0.828 0.328 0.500
# * N(E_F): 0.215 states/eV per atom
# * total energy: -5.128 eV per atom

Record 2
# Th8AsPt3Se4, optimized geometry, DFT PBE
data_Th8AsPt3Se4
_chemical_formula_sum 'Th8 As1 Pt3 Se4'
_space_group_name_H-M_alt 'P 1'
_space_group_IT_number 1
_space_group_name_Hall 'P 1'
_cell_length_a 8.578
_cell_length_b 8.578
_cell_length_c 8.578
_cell_angle_alpha 58.93
_cell_angle_beta 58.93
_cell_angle_gamma 58.93
loop_
_atom_site_label
_atom_site_type_symbol
_atom_site_fract_x
_atom_site_fract_y
_atom_site_fract_z
Th1 Th 0.240 0.240 0.240
Th2 Th 0.242 0.748 0.748
Th3 Th 0.252 0.252 0.758
Th4 Th 0.252 0.758 0.252
Th5 Th 0.748 0.242 0.748
Th6 Th 0.748 0.748 0.242
Th7 Th 0.758 0.252 0.252
Th8 Th 0.760 0.760 0.760
As1 As 0.500 0.500 0.500
Pt1 Pt 0.000 0.000 0.500
Pt2 Pt 0.000 0.500 0.000
Pt3 Pt 0.500 0.000 0.000
Se1 Se 0.000 0.000 0.000
Se2 Se 0.000 0.500 0.500
Se3 Se 0.500 0.000 0.500
Se4 Se 0.500 0.500 0.000
# * N(E_F): 0.784 states/eV per atom
# * raw formation energy: -1.386 eV/atom

Record 3
# NaFeN2, optimized geometry, DFT PBE
data_NaFeN2
_chemical_formula_sum 'Na1 Fe1 N2'
_space_group_name_H-M_alt 'P 1'
_space_group_IT_number 1
_space_group_name_Hall 'P 1'
_cell_length_a 6.966
_cell_length_b 6.966
_cell_length_c 6.966
_cell_angle_alpha 25.02
_cell_angle_beta 25.02
_cell_angle_gamma 25.02
loop_
_atom_site_label
_atom_site_type_symbol
_atom_site_fract_x
_atom_site_fract_y
_atom_site_fract_z
Na1 Na 0.000 0.000 0.000
Fe1 Fe 0.500 0.500 0.500
N1 N 0.418 0.418 0.418
N2 N 0.582 0.582 0.582
# * N(E_F): 0.759 states/eV per atom
# * raw formation energy: 1.053 eV/atom

Record 4
# Dy3ThSc4, optimized geometry, DFT PBE
data_Dy3ThSc4
_chemical_formula_sum 'Dy6 Th2 Sc8'
_space_group_name_H-M_alt 'P 1'
_space_group_IT_number 1
_space_group_name_Hall 'P 1'
_cell_length_a 10.911
_cell_length_b 6.914
_cell_length_c 5.981
_cell_angle_alpha 90.00
_cell_angle_beta 90.00
_cell_angle_gamma 90.00
loop_
_atom_site_label
_atom_site_type_symbol
_atom_site_fract_x
_atom_site_fract_y
_atom_site_fract_z
Dy1 Dy 0.000 0.131 0.000
Dy2 Dy 0.248 0.133 0.348
Dy3 Dy 0.252 0.867 0.848
Dy4 Dy 0.500 0.869 0.500
Dy5 Dy 0.748 0.867 0.848
Dy6 Dy 0.752 0.133 0.348
Th1 Th 0.000 0.863 0.506
Th2 Th 0.500 0.137 0.006
Sc1 Sc 0.000 0.385 0.511
Sc2 Sc 0.000 0.618 0.016
Sc3 Sc 0.250 0.382 0.845
Sc4 Sc 0.250 0.618 0.345
Sc5 Sc 0.500 0.382 0.516
Sc6 Sc 0.500 0.615 0.011
Sc7 Sc 0.750 0.382 0.845
Sc8 Sc 0.750 0.618 0.345
# * N(E_F): 1.868 states/eV per atom
# * total energy: -5.776 eV per atom

Record 5
# CaCr2S4, optimized geometry, DFT PBE
data_CaCr2S4
_chemical_formula_sum 'Ca2 Cr4 S8'
_space_group_name_H-M_alt 'P 1'
_space_group_IT_number 1
_space_group_name_Hall 'P 1'
_cell_length_a 7.461
_cell_length_b 7.461
_cell_length_c 7.461
_cell_angle_alpha 60.00
_cell_angle_beta 60.00
_cell_angle_gamma 60.00
loop_
_atom_site_label
_atom_site_type_symbol
_atom_site_fract_x
_atom_site_fract_y
_atom_site_fract_z
Ca1 Ca 0.125 0.125 0.125
Ca2 Ca 0.875 0.875 0.875
Cr1 Cr 0.000 0.500 0.500
Cr2 Cr 0.500 0.000 0.500
Cr3 Cr 0.500 0.500 0.000
Cr4 Cr 0.500 0.500 0.500
S1 S 0.269 0.269 0.269
S2 S 0.269 0.269 0.692
S3 S 0.269 0.692 0.269
S4 S 0.308 0.731 0.731
S5 S 0.692 0.269 0.269
S6 S 0.731 0.308 0.731
S7 S 0.731 0.731 0.308
S8 S 0.731 0.731 0.731
# * raw formation energy: -1.005 eV/atom

Record 6
# Ni2WS, optimized geometry, DFT PBE
data_Ni2WS
_chemical_formula_sum 'Ni4 W2 S2'
_space_group_name_H-M_alt 'P 1'
_space_group_IT_number 1
_space_group_name_Hall 'P 1'
_cell_length_a 4.334
_cell_length_b 4.334
_cell_length_c 5.521
_cell_angle_alpha 94.30
_cell_angle_beta 94.30
_cell_angle_gamma 103.24
loop_
_atom_site_label
_atom_site_type_symbol
_atom_site_fract_x
_atom_site_fract_y
_atom_site_fract_z
Ni1 Ni 0.179 0.821 0.000
Ni2 Ni 0.351 0.351 0.793
Ni3 Ni 0.649 0.649 0.207
Ni4 Ni 0.821 0.179 0.000
W1 W 0.201 0.799 0.500
W2 W 0.799 0.201 0.500
S1 S 0.259 0.259 0.263
S2 S 0.741 0.741 0.737
# * N(E_F): 0.706 states/eV per atom
# * raw formation energy: 0.023 eV/atom

Q: Number 2 is which compound?
A: Th8AsPt3Se4